# MnP2AuO, optimized geometry, DFT PBE+U
# Fermi-level density of states = 1.97 states/eV per cell
# Polymorph energy (0 for the lowest one) = 0.00 kJ/mol of atoms
# Total magnetization = 0.000 μB/atom
data_MnP2AuO
_chemical_formula_sum 'Mn1 P2 Au1 O1'
_symmetry_space_group_name_H-M 'P 1'
_symmetry_Int_Tables_number 1
_cell_length_a 4.6525
_cell_length_b 4.6525
_cell_length_c 3.4071
_cell_angle_alpha 90.00
_cell_angle_beta 90.00
_cell_angle_gamma 90.00
loop_
_symmetry_equiv_pos_as_xyz
'x,y,z'
loop_
_atom_site_label
_atom_site_type_symbol
_atom_site_fract_x
_atom_site_fract_y
_atom_site_fract_z
P1 P 0.0000 0.5000 0.0000
P2 P 0.5000 0.0000 0.0000
O1 O 0.0000 0.0000 0.5000
Mn1 Mn 0.0000 0.0000 0.0000
Au1 Au 0.5000 0.5000 0.5000